(1)
# AgPtAu

A relaxed AgPtAu crystal (PBE, the Alexandria database).

Unit cell a=4.6196 b=4.6196 c=2.7889 alpha=90.00 beta=90.00 gamma=120.00
Space group P3m1 (No. 156)
Asymmetric unit:
Ag1 0.0000 0.0000 0.0000 (multiplicity 1)
Pt1 0.3333 0.6667 0.6616 (multiplicity 1)
Au1 0.6667 0.3333 0.3261 (multiplicity 1)

Values from the calculation:
- magnetic moment (μB per cell) = 0.0
- formation energy from the elements (eV/atom) = 0.07
- Fermi-level density of states (states/eV per atom) = 0.355
- polymorph energy (0 for the lowest one) (eV/f.u.) = 0.230


(2)
# Ag5Pt2Au4

A relaxed Ag5Pt2Au4 crystal (PBE, the Alexandria database).

Unit cell a=7.3988 b=2.8621 c=9.3573 alpha=90.00 beta=94.88 gamma=90.00
Space group P2/m (No. 10)
Asymmetric unit:
Ag1 0.0000 0.0000 0.0000 (multiplicity 1)
Ag2 0.0554 0.0000 0.3082 (multiplicity 2)
Ag3 0.3153 0.0000 0.8445 (multiplicity 2)
Pt1 0.4323 0.0000 0.3635 (multiplicity 2)
Au1 0.2268 0.5000 0.5668 (multiplicity 2)
Au2 0.3171 0.5000 0.1149 (multiplicity 2)

Values from the calculation:
- magnetic moment (μB per cell) = 0.0
- formation energy from the elements (eV/atom) = 0.03
- Fermi-level density of states (states/eV per atom) = 0.374
- polymorph energy (0 for the lowest one) (eV/f.u.) = 0.000


(3)
# Ag7Pt2Au3

A relaxed Ag7Pt2Au3 crystal (PBE, the Alexandria database).

Unit cell a=4.7378 b=2.8396 c=16.2563 alpha=90.00 beta=93.22 gamma=90.00
Space group P2/m (No. 10)
Asymmetric unit:
Ag1 0.0000 0.0000 0.0000 (multiplicity 1)
Ag2 0.1883 0.5000 0.2021 (multiplicity 2)
Ag3 0.2578 0.5000 0.5394 (multiplicity 2)
Ag4 0.3220 0.0000 0.8545 (multiplicity 2)
Pt1 0.2928 0.5000 0.7044 (multiplicity 2)
Au1 0.2234 0.0000 0.3713 (multiplicity 2)
Au2 0.5000 0.5000 0.0000 (multiplicity 1)

Values from the calculation:
- magnetic moment (μB per cell) = 0.0
- formation energy from the elements (eV/atom) = 0.09
- Fermi-level density of states (states/eV per atom) = 0.345


(4)
# AgPt2Au4

A relaxed AgPt2Au4 crystal (PBE, the Alexandria database).

Unit cell a=5.0251 b=6.4704 c=7.6666 alpha=85.43 beta=77.44 gamma=82.53
Space group P1 (No. 1)
Asymmetric unit:
Ag1 0.0000 0.0000 0.0000 (multiplicity 1)
Ag2 0.1465 0.7096 0.7122 (multiplicity 1)
Pt1 0.2872 0.4240 0.4295 (multiplicity 1)
Pt2 0.5749 0.8510 0.8537 (multiplicity 1)
Pt3 0.7170 0.5683 0.5676 (multiplicity 1)
Pt4 0.8553 0.2924 0.2917 (multiplicity 1)
Au1 0.0677 0.8553 0.3579 (multiplicity 1)
Au2 0.2134 0.5695 0.0720 (multiplicity 1)
Au3 0.3649 0.2806 0.7847 (multiplicity 1)
Au4 0.4286 0.1402 0.1455 (multiplicity 1)
Au5 0.5051 0.9955 0.5022 (multiplicity 1)
Au6 0.6374 0.7112 0.2134 (multiplicity 1)
Au7 0.7882 0.4300 0.9273 (multiplicity 1)
Au8 0.9334 0.1431 0.6425 (multiplicity 1)

Values from the calculation:
- magnetic moment (μB per cell) = 0.0
- formation energy from the elements (eV/atom) = 0.01
- Fermi-level density of states (states/eV per atom) = 0.385
- polymorph energy (0 for the lowest one) (eV/f.u.) = 0.000


(5)
# AgPtAu3

A relaxed AgPtAu3 crystal (PBE, the Alexandria database).

Unit cell a=5.0742 b=5.0742 c=5.0742 alpha=90.00 beta=90.00 gamma=90.00
Space group Pm-3m (No. 221)
Asymmetric unit:
Ag1 0.0000 0.0000 0.0000 (multiplicity 1)
Pt1 0.5000 0.5000 0.5000 (multiplicity 1)
Au1 0.0000 0.5000 0.5000 (multiplicity 3)

Values from the calculation:
- magnetic moment (μB per cell) = 0.0
- formation energy from the elements (eV/atom) = 0.77
- Fermi-level density of states (states/eV per atom) = 0.739
- polymorph energy (0 for the lowest one) (eV/f.u.) = 3.844


(6)
# AgPt2Au2

A relaxed AgPt2Au2 crystal (PBE, the Alexandria database).

Unit cell a=3.7025 b=3.7025 c=13.9272 alpha=90.00 beta=90.00 gamma=90.00
Space group I4/mmm (No. 139)
Asymmetric unit:
Ag1 0.0000 0.0000 0.0000 (multiplicity 2)
Pt1 0.0000 0.5000 0.2500 (multiplicity 4)
Au1 0.0000 0.0000 0.4034 (multiplicity 4)

Values from the calculation:
- magnetic moment (μB per cell) = 0.0
- formation energy from the elements (eV/atom) = 0.23
- Fermi-level density of states (states/eV per atom) = 0.737
- polymorph energy (0 for the lowest one) (eV/f.u.) = 0.328


(7)
# AgPtAu2

A relaxed AgPtAu2 crystal (PBE, the Alexandria database).

Unit cell a=4.1191 b=4.1191 c=4.0675 alpha=90.00 beta=90.00 gamma=90.00
Space group P4/mmm (No. 123)
Asymmetric unit:
Ag1 0.0000 0.0000 0.0000 (multiplicity 1)
Pt1 0.5000 0.5000 0.0000 (multiplicity 1)
Au1 0.0000 0.5000 0.5000 (multiplicity 2)

Values from the calculation:
- magnetic moment (μB per cell) = 0.0
- formation energy from the elements (eV/atom) = 0.00
- Fermi-level density of states (states/eV per atom) = 0.294
- polymorph energy (0 for the lowest one) (eV/f.u.) = 0.064


(8)
# Ag8Pt2Au

A relaxed Ag8Pt2Au crystal (PBE, the Alexandria database).

Unit cell a=7.7161 b=12.8385 c=5.1465 alpha=90.00 beta=126.34 gamma=90.00
Space group C2/m (No. 12)
Asymmetric unit:
Ag1 0.0000 0.2184 0.0000 (multiplicity 4)
Ag2 0.0903 0.5000 0.8211 (multiplicity 4)
Ag3 0.2118 0.1154 0.6106 (multiplicity 8)
Pt1 0.0000 0.3070 0.5000 (multiplicity 4)
Au1 0.0000 0.0000 0.0000 (multiplicity 2)

Values from the calculation:
- magnetic moment (μB per cell) = 0.0
- formation energy from the elements (eV/atom) = 0.19
- Fermi-level density of states (states/eV per atom) = 0.377
- polymorph energy (0 for the lowest one) (eV/f.u.) = 2.017